[1]
Entry from Alexandria: a relaxed CeDyY crystal (GGA-PBE).

abc: 4.683 4.683 8.628
angles: 90.00 90.00 90.00
Atoms (fractional coordinates):
Ce (0.250, 0.750, 0.000)
Ce (0.750, 0.250, 0.000)
Dy (0.250, 0.250, 0.270)
Dy (0.750, 0.750, 0.730)
Y (0.250, 0.250, 0.668)
Y (0.750, 0.750, 0.332)

Values from the calculation:
- ΔH_f (0 K): 0.2450 eV per atom
- Total magnetic moment: 0.00 μB per atom
- Relative energy among the computed polymorphs: 0.53 eV/f.u.
- Electronic total energy: -32.5 eV per cell
- SG: P4/nmm

[2]
Entry from Alexandria: a relaxed CeDy14Y crystal (GGA-PBE).

abc: 7.087 7.087 10.023
angles: 90.00 90.00 90.00
Atoms (fractional coordinates):
Ce (0.000, 0.000, 0.000)
Dy (0.000, 0.000, 0.500)
Dy (0.000, 0.500, 0.000)
Dy (0.000, 0.500, 0.500)
Dy (0.249, 0.249, 0.250)
Dy (0.249, 0.249, 0.750)
Dy (0.249, 0.751, 0.250)
Dy (0.249, 0.751, 0.750)
Dy (0.500, 0.000, 0.000)
Dy (0.500, 0.000, 0.500)
Dy (0.500, 0.500, 0.500)
Dy (0.751, 0.249, 0.250)
Dy (0.751, 0.249, 0.750)
Dy (0.751, 0.751, 0.250)
Dy (0.751, 0.751, 0.750)
Y (0.500, 0.500, 0.000)

Values from the calculation:
- ΔH_f (0 K): 0.0272 eV per atom
- Total magnetic moment: 0.05 μB per atom
- Electronic total energy: -76.4 eV per cell
- SG: P4/mmm

[3]
Entry from Alexandria: a relaxed CeDyY crystal (GGA-PBE).

abc: 3.475 5.375 10.186
angles: 90.00 99.81 90.00
Atoms (fractional coordinates):
Ce (0.209, 0.250, 0.418)
Ce (0.791, 0.750, 0.582)
Dy (0.041, 0.250, 0.084)
Dy (0.959, 0.750, 0.916)
Y (0.382, 0.250, 0.764)
Y (0.618, 0.750, 0.236)

Values from the calculation:
- ΔH_f (0 K): 0.0938 eV per atom
- Total magnetic moment: 0.32 μB per atom
- Relative energy among the computed polymorphs: 0.08 eV/f.u.
- Electronic total energy: -33.4 eV per cell
- SG: P2_1/m

[4]
Entry from Alexandria: a relaxed CeDy12Y7 crystal (GGA-PBE).

abc: 9.792 9.792 9.792
angles: 109.47 109.47 109.47
Atoms (fractional coordinates):
Ce (0.000, 0.000, 0.000)
Dy (0.000, 0.256, 0.744)
Dy (0.000, 0.744, 0.256)
Dy (0.256, 0.000, 0.744)
Dy (0.256, 0.256, 0.512)
Dy (0.256, 0.512, 0.256)
Dy (0.256, 0.744, 0.000)
Dy (0.488, 0.744, 0.744)
Dy (0.512, 0.256, 0.256)
Dy (0.744, 0.000, 0.256)
Dy (0.744, 0.256, 0.000)
Dy (0.744, 0.488, 0.744)
Dy (0.744, 0.744, 0.488)
Y (0.000, 0.000, 0.500)
Y (0.000, 0.500, 0.000)
Y (0.000, 0.500, 0.500)
Y (0.500, 0.000, 0.000)
Y (0.500, 0.000, 0.500)
Y (0.500, 0.500, 0.000)
Y (0.500, 0.500, 0.500)

Values from the calculation:
- ΔH_f (0 K): 0.7400 eV per atom
- Total magnetic moment: 0.08 μB per atom
- Relative energy among the computed polymorphs: 9.61 eV/f.u.
- Electronic total energy: -91.6 eV per cell
- SG: Im-3m

[5]
Entry from Alexandria: a relaxed CeDy7Y4 crystal (GGA-PBE).

abc: 10.022 10.022 5.945
angles: 90.08 90.08 40.46
Atoms (fractional coordinates):
Ce (0.000, 0.000, 0.000)
Dy (0.000, 0.000, 0.500)
Dy (0.187, 0.187, 0.252)
Dy (0.287, 0.287, 0.755)
Dy (0.461, 0.461, 0.750)
Dy (0.539, 0.539, 0.250)
Dy (0.713, 0.713, 0.245)
Dy (0.813, 0.813, 0.748)
Y (0.132, 0.594, 0.252)
Y (0.406, 0.868, 0.748)
Y (0.594, 0.132, 0.252)
Y (0.868, 0.406, 0.748)

Values from the calculation:
- ΔH_f (0 K): 0.1492 eV per atom
- Total magnetic moment: 0.12 μB per atom
- Electronic total energy: -62.2 eV per cell
- SG: C2/m

[6]
Entry from Alexandria: a relaxed CeDy4Y9 crystal (GGA-PBE).

abc: 9.728 9.728 11.217
angles: 90.00 90.00 120.00
Atoms (fractional coordinates):
Ce (0.333, 0.667, 0.250)
Ce (0.667, 0.333, 0.750)
Dy (0.000, 0.000, 0.000)
Dy (0.000, 0.000, 0.500)
Dy (0.112, 0.224, 0.750)
Dy (0.112, 0.888, 0.750)
Dy (0.224, 0.112, 0.250)
Dy (0.776, 0.888, 0.750)
Dy (0.888, 0.112, 0.250)
Dy (0.888, 0.776, 0.250)
Y (0.080, 0.540, 0.750)
Y (0.210, 0.419, 0.030)
Y (0.210, 0.419, 0.470)
Y (0.210, 0.790, 0.030)
Y (0.210, 0.790, 0.470)
Y (0.419, 0.210, 0.530)
Y (0.419, 0.210, 0.970)
Y (0.460, 0.540, 0.750)
Y (0.460, 0.920, 0.750)
Y (0.540, 0.080, 0.250)
Y (0.540, 0.460, 0.250)
Y (0.581, 0.790, 0.030)
Y (0.581, 0.790, 0.470)
Y (0.790, 0.210, 0.530)
Y (0.790, 0.210, 0.970)
Y (0.790, 0.581, 0.530)
Y (0.790, 0.581, 0.970)
Y (0.920, 0.460, 0.250)

Values from the calculation:
- ΔH_f (0 K): 0.1832 eV per atom
- Total magnetic moment: 0.07 μB per atom
- Electronic total energy: -159.9 eV per cell
- SG: P6_3/mmc

[7]
Entry from Alexandria: a relaxed CeDy4Y6 crystal (GGA-PBE).

abc: 5.611 5.611 25.785
angles: 90.00 90.00 118.75
Atoms (fractional coordinates):
Ce (0.183, 0.817, 0.750)
Ce (0.817, 0.183, 0.250)
Dy (0.160, 0.840, 0.042)
Dy (0.160, 0.840, 0.458)
Dy (0.477, 0.523, 0.122)
Dy (0.477, 0.523, 0.378)
Dy (0.523, 0.477, 0.622)
Dy (0.523, 0.477, 0.878)
Dy (0.840, 0.160, 0.542)
Dy (0.840, 0.160, 0.958)
Y (0.148, 0.852, 0.181)
Y (0.148, 0.852, 0.319)
Y (0.185, 0.815, 0.602)
Y (0.185, 0.815, 0.898)
Y (0.484, 0.516, 0.250)
Y (0.500, 0.500, 0.000)
Y (0.500, 0.500, 0.500)
Y (0.516, 0.484, 0.750)
Y (0.815, 0.185, 0.102)
Y (0.815, 0.185, 0.398)
Y (0.852, 0.148, 0.681)
Y (0.852, 0.148, 0.819)

Values from the calculation:
- ΔH_f (0 K): 0.1433 eV per atom
- Total magnetic moment: 0.08 μB per atom
- Electronic total energy: -123.1 eV per cell
- SG: Cmcm

[8]
Entry from Alexandria: a relaxed CeDy10Y4 crystal (GGA-PBE).

abc: 8.632 8.632 8.632
angles: 111.92 111.92 104.67
Atoms (fractional coordinates):
Ce (0.000, 0.000, 0.000)
Dy (0.129, 0.228, 0.673)
Dy (0.228, 0.555, 0.099)
Dy (0.250, 0.750, 0.500)
Dy (0.445, 0.544, 0.673)
Dy (0.456, 0.129, 0.901)
Dy (0.544, 0.871, 0.099)
Dy (0.555, 0.456, 0.327)
Dy (0.750, 0.250, 0.500)
Dy (0.772, 0.445, 0.901)
Dy (0.871, 0.772, 0.327)
Y (0.066, 0.668, 0.734)
Y (0.332, 0.066, 0.397)
Y (0.668, 0.934, 0.603)
Y (0.934, 0.332, 0.266)

Values from the calculation:
- ΔH_f (0 K): 0.3626 eV per atom
- Total magnetic moment: 0.10 μB per atom
- Electronic total energy: -72.4 eV per cell
- SG: I4/m

[9]
Entry from Alexandria: a relaxed CeDy9Y2 crystal (GGA-PBE).

abc: 5.015 5.015 15.048
angles: 90.00 90.00 90.00
Atoms (fractional coordinates):
Ce (0.000, 0.000, 0.000)
Dy (0.000, 0.500, 0.165)
Dy (0.000, 0.500, 0.500)
Dy (0.000, 0.500, 0.835)
Dy (0.500, 0.000, 0.165)
Dy (0.500, 0.000, 0.500)
Dy (0.500, 0.000, 0.835)
Dy (0.500, 0.500, 0.000)
Dy (0.500, 0.500, 0.335)
Dy (0.500, 0.500, 0.665)
Y (0.000, 0.000, 0.332)
Y (0.000, 0.000, 0.668)

Values from the calculation:
- ΔH_f (0 K): 0.0370 eV per atom
- Total magnetic moment: 0.08 μB per atom
- Electronic total energy: -59.8 eV per cell
- SG: P4/mmm

[10]
Entry from Alexandria: a relaxed CeDy4Y4 crystal (GGA-PBE).

abc: 7.947 7.947 7.947
angles: 95.78 95.78 142.98
Atoms (fractional coordinates):
Ce (0.000, 0.000, 0.000)
Dy (0.000, 0.334, 0.334)
Dy (0.000, 0.666, 0.666)
Dy (0.334, 0.000, 0.334)
Dy (0.666, 0.000, 0.666)
Y (0.335, 0.335, 0.669)
Y (0.335, 0.665, 0.000)
Y (0.665, 0.335, 0.000)
Y (0.665, 0.665, 0.331)

Values from the calculation:
- ΔH_f (0 K): 0.0458 eV per atom
- Total magnetic moment: 0.13 μB per atom
- Electronic total energy: -49.8 eV per cell
- SG: I4/mmm

[11]
Entry from Alexandria: a relaxed Ce2Dy4Y5 crystal (GGA-PBE).

abc: 8.925 8.925 11.593
angles: 94.13 94.13 22.49
Atoms (fractional coordinates):
Ce (0.220, 0.220, 0.358)
Ce (0.780, 0.780, 0.642)
Dy (0.141, 0.141, 0.797)
Dy (0.466, 0.466, 0.742)
Dy (0.534, 0.534, 0.258)
Dy (0.859, 0.859, 0.203)
Y (0.000, 0.000, 0.000)
Y (0.323, 0.323, 0.929)
Y (0.403, 0.403, 0.465)
Y (0.597, 0.597, 0.535)
Y (0.677, 0.677, 0.071)

Values from the calculation:
- ΔH_f (0 K): 0.1054 eV per atom
- Total magnetic moment: 0.15 μB per atom
- Electronic total energy: -61.4 eV per cell
- SG: C2/m

[12]
Entry from Alexandria: a relaxed CeDyY crystal (GGA-PBE).

abc: 3.524 3.524 8.650
angles: 90.00 90.00 120.00
Atoms (fractional coordinates):
Ce (0.000, 0.000, 0.000)
Dy (0.667, 0.333, 0.328)
Y (0.333, 0.667, 0.668)

Values from the calculation:
- ΔH_f (0 K): 0.0679 eV per atom
- Total magnetic moment: 0.22 μB per atom
- Relative energy among the computed polymorphs: 0.00 eV/f.u.
- Electronic total energy: -16.8 eV per cell
- SG: P3m1